A:
A relaxed SrCoBr2 crystal. Source: Alexandria, functional PBE.

```
SrCoBr2
1.0
-5.119 2.309 -1.339
-0.460 -3.616 -4.477
-5.995 -5.363 1.225
Br Sr Co
4 2 2
direct
0.375 0.459 0.750
0.541 0.125 0.250
0.875 0.791 0.750
0.209 0.625 0.250
0.000 0.000 0.000
0.750 0.250 0.500
0.250 0.750 0.500
0.500 0.500 0.000
```

## Properties
Space group   I-42d, No. 122
Calculated volume   234.58 Å³/cell
Crystal system   tetragonal

B:
A relaxed SrCoBr2 crystal. Source: Alexandria, functional PBE.

```
SrCoBr2
1.0
4.748 0.000 0.000
0.000 5.212 0.000
0.000 0.000 4.031
Br Co Sr
2 1 1
direct
0.000 0.000 0.000
0.500 0.500 0.000
0.500 0.000 0.500
0.000 0.500 0.500
```

## Properties
Space group   Pmmm, No. 47
Calculated volume   99.76 Å³/cell
Crystal system   orthorhombic

C:
A relaxed SrCoBr2 crystal. Source: Alexandria, functional PBE.

```
SrCoBr2
1.0
7.429 0.499 -0.125
5.917 4.521 -0.125
-0.110 -0.041 4.605
Co Br Sr
1 2 1
direct
0.750 0.750 0.750
0.889 0.889 0.009
0.611 0.611 0.491
0.250 0.250 0.250
```

## Properties
Space group   C2/m, No. 12
Calculated volume   141.01 Å³/cell
Crystal system   monoclinic

D:
A relaxed SrCoBr2 crystal. Source: Alexandria, functional PBE.

```
SrCoBr2
1.0
-2.742 2.688 -0.858
-1.560 -0.818 3.518
4.014 5.037 2.950
Co Br Sr
1 2 1
direct
0.500 0.500 0.250
0.000 0.000 0.992
0.000 0.000 0.508
0.500 0.500 0.750
```

## Properties
Space group   Cmmm, No. 65
Calculated volume   109.45 Å³/cell
Crystal system   orthorhombic

Winner for stability: C

A:
A relaxed SrCo2Br crystal. Source: Alexandria, functional PBE.

```
SrCo2Br
1.0
3.426 0.000 0.000
0.000 3.424 0.000
0.000 0.000 7.985
Br Sr Co
1 1 2
direct
0.500 0.500 0.712
0.000 0.000 0.483
0.500 0.500 0.178
0.000 0.000 0.127
```

## Properties
Space group   P4mm, No. 99
Calculated volume   93.67 Å³/cell
Crystal system   tetragonal

B:
A relaxed SrCo2Br crystal. Source: Alexandria, functional PBE.

```
SrCo2Br
1.0
-0.289 -2.797 -2.653
3.401 1.067 -1.496
2.745 -3.700 3.601
Co Sr Br
2 1 1
direct
0.000 0.000 0.561
0.000 0.000 0.939
0.500 0.500 0.250
0.500 0.500 0.750
```

## Properties
Space group   P4/mmm, No. 123
Calculated volume   87.38 Å³/cell
Crystal system   tetragonal

C:
A relaxed SrCo2Br crystal. Source: Alexandria, functional PBE.

```
SrCo2Br
1.0
-2.680 0.546 -3.507
-3.113 -1.581 2.133
-1.201 4.544 1.625
Co Sr Br
2 1 1
direct
0.000 0.750 0.472
0.000 0.750 0.028
0.500 0.250 0.250
0.500 0.750 0.750
```

## Properties
Space group   Pmmm, No. 47
Calculated volume   90.49 Å³/cell
Crystal system   orthorhombic

D:
A relaxed SrCo2Br crystal. Source: Alexandria, functional PBE.

```
SrCo2Br
1.0
-1.545 -3.356 1.380
1.004 -3.449 -1.628
5.327 -0.589 4.531
Co Sr Br
2 1 1
direct
0.792 0.792 0.838
0.125 0.125 0.883
0.458 0.458 0.539
0.125 0.125 0.240
```

## Properties
Space group   P3m1, No. 156
Calculated volume   94.54 Å³/cell
Crystal system   trigonal

Winner for stability: D

A:
A relaxed SrCo2Br crystal. Source: Alexandria, functional PBE.

```
SrCo2Br
1.0
4.928 0.000 0.000
2.464 4.268 0.000
2.464 1.423 4.023
Co Br Sr
2 1 1
direct
0.250 0.250 0.250
0.000 0.000 0.000
0.500 0.500 0.500
0.750 0.750 0.750
```

## Properties
Space group   F-43m, No. 216
Calculated volume   84.61 Å³/cell
Crystal system   cubic

B:
A relaxed SrCo2Br crystal. Source: Alexandria, functional PBE.

```
SrCo2Br
1.0
-2.908 -0.299 1.835
-0.224 -3.408 -0.909
3.745 -3.506 5.363
Br Co Sr
1 2 1
direct
0.500 0.692 0.743
0.500 0.503 0.119
0.000 0.988 0.149
0.000 0.318 0.490
```

## Properties
Space group   Amm2, No. 38
Calculated volume   87.94 Å³/cell
Crystal system   orthorhombic

Winner for stability: B

A:
A relaxed SrCo2Br crystal. Source: Alexandria, functional PBE.

```
SrCo2Br
1.0
4.770 0.000 0.000
0.000 4.770 0.000
2.385 2.385 7.808
Co Sr Br
4 2 2
direct
0.375 0.625 0.250
0.375 0.625 0.750
0.375 0.125 0.250
0.875 0.625 0.750
0.750 0.250 0.500
0.000 0.000 0.000
0.500 0.500 0.000
0.250 0.750 0.500
```

## Properties
Space group   I4_1/amd, No. 141
Calculated volume   177.64 Å³/cell
Crystal system   tetragonal

B:
A relaxed SrCo2Br crystal. Source: Alexandria, functional PBE.

```
SrCo2Br
1.0
5.412 0.031 -0.001
0.933 5.331 0.001
-2.223 -3.804 3.142
Br Co Sr
1 2 1
direct
0.190 0.690 0.500
0.976 0.976 0.000
0.827 0.327 0.500
0.508 0.508 0.000
```

## Properties
Space group   Imm2, No. 44
Calculated volume   90.57 Å³/cell
Crystal system   orthorhombic

C:
A relaxed SrCo2Br crystal. Source: Alexandria, functional PBE.

```
SrCo2Br
1.0
5.579 0.000 0.000
0.000 4.017 0.000
0.000 0.000 4.017
Sr Co Br
1 2 1
direct
0.500 0.500 0.000
0.000 0.000 0.000
0.000 0.500 0.500
0.500 0.000 0.500
```

## Properties
Space group   P4/mmm, No. 123
Calculated volume   90.01 Å³/cell
Crystal system   tetragonal

Winner for stability: B

A:
A relaxed SrCo2Br crystal. Source: Alexandria, functional PBE.

```
SrCo2Br
1.0
6.435 -0.017 0.007
3.967 5.066 -0.007
-5.042 -2.852 2.802
Co Sr Br
2 1 1
direct
0.499 0.499 0.000
0.001 0.001 0.000
0.750 0.250 0.500
0.250 0.750 0.500
```

## Properties
Space group   Immm, No. 71
Calculated volume   91.51 Å³/cell
Crystal system   orthorhombic

B:
A relaxed SrCo2Br crystal. Source: Alexandria, functional PBE.

```
SrCo2Br
1.0
-4.688 -0.639 -3.436
-1.014 -0.793 -5.704
-2.258 -4.210 -3.371
Br Co Sr
1 2 1
direct
0.750 0.750 0.750
0.435 0.435 0.435
0.065 0.065 0.065
0.250 0.250 0.250
```

## Properties
Space group   R-3m, No. 166
Calculated volume   85.48 Å³/cell
Crystal system   trigonal

C:
A relaxed SrCo2Br crystal. Source: Alexandria, functional PBE.

```
SrCo2Br
1.0
-2.353 2.580 3.280
-2.952 3.512 -1.381
-4.736 -0.514 0.505
Br Sr Co
1 1 2
direct
0.000 0.000 0.000
0.500 0.500 0.500
0.250 0.250 0.250
0.750 0.750 0.750
```

## Properties
Space group   Fm-3m, No. 225
Calculated volume   77.75 Å³/cell
Crystal system   cubic

Winner for stability: B

A:
A relaxed SrCoBr4 crystal. Source: Alexandria, functional PBE.

```
SrCoBr4
1.0
-6.840 -0.848 -4.445
4.363 -6.766 1.562
-4.928 -4.831 4.431
Br Sr Co
8 2 2
direct
0.623 0.690 0.567
0.377 0.310 0.433
0.810 0.242 0.567
0.190 0.123 0.067
0.258 0.690 0.933
0.742 0.310 0.067
0.810 0.877 0.933
0.190 0.758 0.433
0.125 0.375 0.750
0.875 0.625 0.250
0.625 0.875 0.750
0.375 0.125 0.250
```

## Properties
Space group   I4_1/amd, No. 141
Calculated volume   418.29 Å³/cell
Crystal system   tetragonal

B:
A relaxed SrCoBr4 crystal. Source: Alexandria, functional PBE.

```
SrCoBr4
1.0
0.000 4.550 4.550
4.550 0.000 4.550
4.550 4.550 0.000
Br Sr Co
4 1 1
direct
0.375 0.874 0.375
0.874 0.375 0.375
0.375 0.375 0.375
0.375 0.375 0.874
0.000 0.000 0.000
0.750 0.750 0.750
```

## Properties
Space group   F-43m, No. 216
Calculated volume   188.39 Å³/cell
Crystal system   cubic

Winner for stability: A

A:
A relaxed CoTe2Br crystal. Source: Alexandria, functional PBE.

```
CoTe2Br
1.0
-8.127 0.136 2.106
-7.214 -3.685 2.209
-6.379 -1.382 5.282
Co Te Br
1 2 1
direct
0.500 0.500 0.500
0.883 0.883 0.883
0.117 0.117 0.117
0.000 0.000 0.000
```

## Properties
Space group   R-3m, No. 166
Calculated volume   108.10 Å³/cell
Crystal system   trigonal

B:
A relaxed CoTe2Br crystal. Source: Alexandria, functional PBE.

```
CoTe2Br
1.0
6.289 -0.015 0.005
0.088 7.473 -0.044
-0.001 1.953 4.993
Te Co Br
4 2 2
direct
0.810 0.845 0.616
0.103 0.879 0.191
0.313 0.590 0.822
0.606 0.555 0.248
0.968 0.624 0.035
0.466 0.810 0.404
0.066 0.358 0.426
0.557 0.076 0.012
```

## Properties
Space group   P1, No. 1
Calculated volume   235.23 Å³/cell
Crystal system   triclinic

Winner for stability: A

A:
A relaxed CoTe2Br crystal. Source: Alexandria, functional PBE.

```
CoTe2Br
1.0
-7.904 2.983 4.364
-1.888 -2.705 -1.570
2.820 -8.171 10.691
Br Co Te
4 4 8
direct
0.399 0.750 0.126
0.601 0.250 0.874
0.101 0.250 0.626
0.899 0.750 0.374
0.983 0.750 0.926
0.017 0.250 0.074
0.517 0.250 0.426
0.483 0.750 0.574
0.874 0.250 0.827
0.831 0.750 0.070
0.626 0.750 0.327
0.669 0.250 0.570
0.169 0.250 0.930
0.331 0.750 0.430
0.126 0.750 0.173
0.374 0.250 0.673
```

## Properties
Space group   Pnma, No. 62
Calculated volume   477.56 Å³/cell
Crystal system   orthorhombic

B:
A relaxed CoTe2Br crystal. Source: Alexandria, functional PBE.

```
CoTe2Br
1.0
-2.173 1.628 -6.923
3.024 -2.923 -1.636
-8.560 -9.155 0.534
Te Br Co
8 4 4
direct
0.225 0.250 0.784
0.275 0.750 0.284
0.883 0.250 0.439
0.725 0.250 0.716
0.383 0.250 0.061
0.117 0.750 0.561
0.775 0.750 0.216
0.617 0.750 0.939
0.446 0.250 0.397
0.946 0.250 0.103
0.054 0.750 0.897
0.554 0.750 0.603
0.982 0.750 0.365
0.482 0.750 0.135
0.518 0.250 0.865
0.018 0.250 0.635
```

## Properties
Space group   Pnma, No. 62
Calculated volume   420.98 Å³/cell
Crystal system   orthorhombic

C:
A relaxed CoTe2Br crystal. Source: Alexandria, functional PBE.

```
CoTe2Br
1.0
-2.352 -3.410 -3.359
4.081 0.527 -3.393
1.503 -2.443 1.427
Br Te Co
1 2 1
direct
0.500 0.000 0.500
0.500 0.500 0.000
0.000 0.000 0.000
0.000 0.500 0.500
```

## Properties
Space group   P4/mmm, No. 123
Calculated volume   91.12 Å³/cell
Crystal system   tetragonal

Winner for stability: A

A:
A relaxed CoTe2Br crystal. Source: Alexandria, functional PBE.

```
CoTe2Br
1.0
-3.673 1.429 0.024
1.583 -1.790 -9.137
-2.425 -6.247 0.804
Co Br Te
2 2 4
direct
0.801 0.591 0.750
0.199 0.409 0.250
0.051 0.137 0.250
0.949 0.863 0.750
0.677 0.369 0.498
0.323 0.631 0.502
0.323 0.631 0.998
0.677 0.369 0.002
```

## Properties
Space group   P2_1/m, No. 11
Calculated volume   244.45 Å³/cell
Crystal system   monoclinic

B:
A relaxed CoTe2Br crystal. Source: Alexandria, functional PBE.

```
CoTe2Br
1.0
17.384 0.000 2.255
0.000 5.150 0.000
-5.596 0.000 3.637
Te Br Co
8 4 4
direct
0.932 0.762 0.791
0.068 0.762 0.564
0.432 0.262 0.936
0.432 0.738 0.291
0.068 0.238 0.209
0.932 0.238 0.436
0.568 0.738 0.064
0.568 0.262 0.709
0.750 0.750 0.920
0.250 0.250 0.080
0.250 0.750 0.420
0.750 0.250 0.580
0.089 0.500 0.928
0.911 0.500 0.072
0.411 0.000 0.572
0.589 0.000 0.428
```

## Properties
Space group   Pnna, No. 52
Calculated volume   390.58 Å³/cell
Crystal system   orthorhombic

Winner for stability: B